Entry 1:
The following is a PBE calculation of a geometry-optimized Ba2SrSb structure, from Alexandria.

Lattice parameters (Å, degrees): 4.459 5.996 14.732 90.00 90.00 90.00
Space group Imm2 (No. 44)
One atom of each set of equivalent atoms:
Ba 0.000 0.000 0.000 x2
Ba 0.000 0.500 0.175 x2
Sr 0.000 0.000 0.356 x2
Sb 0.000 0.500 0.685 x2


Entry 2:
The following is a PBE calculation of a geometry-optimized Na2Hg3Sb2 structure, from Alexandria.

Lattice parameters (Å, degrees): 11.587 5.145 6.744 90.00 92.18 90.00
Space group C2/m (No. 12)
One atom of each set of equivalent atoms:
Na 0.102 0.000 0.306 x4
Hg 0.000 0.500 0.000 x2
Hg 0.242 0.000 0.808 x4
Sb 0.105 0.500 0.636 x4

The relative energy among the computed polymorphs comes out at 0.000 eV/atom.


Formation energy (no corrections) per entry: -546.6 -160.5 meV per atom